No. 1
Density functional theory data (PBE) for a relaxed structure of Si2HIrF.

abc: 4.592 4.340 4.592
angles: 90.00 90.00 90.00
Fractional coordinates of all 5 atoms:
Si 0.500 0.000 0.000
Ir 0.000 0.000 0.000
F 0.000 0.500 0.000
H 0.500 0.500 0.500
Si 0.000 0.000 0.500

Summary:
Final energy = -23.23 eV/cell
N(E_F) = 0.240 states/eV/atom

=====

No. 2
Density functional theory data (PBE) for a relaxed structure of ZrZn3Pt.

abc: 4.694 4.694 4.694
angles: 90.00 90.00 90.00
Fractional coordinates of all 5 atoms:
Zn 0.000 0.500 0.000
Zn 0.000 0.000 0.500
Zn 0.500 0.000 0.000
Pt 0.000 0.000 0.000
Zr 0.500 0.500 0.500

Summary:
Formation energy = 0.15 eV per atom
N(E_F) = 0.329 states/eV/atom